No. 1
A geometry-optimized DyYSb2 structure. Source: the Alexandria database, functional PBE-GGA.

a b c (Å): 4.3544 4.3544 22.3062
angles (deg): 90.00 90.00 120.00
Space group R3m (No. 160, hexagonal axes)
Symmetry-distinct sites (fractional):
Dy 0.0000 0.0000 0.0000 (multiplicity 3)
Y 0.0000 0.0000 0.1707 (multiplicity 3)
Sb 0.0000 0.0000 0.5840 (multiplicity 3)
Sb 0.0000 0.0000 0.7531 (multiplicity 3)

- Crystal system: trigonal
- Energy relative to the elements, uncorrected: -1.036 eV/atom

***

No. 2
A geometry-optimized DyYSb2 structure. Source: the Alexandria database, functional PBE-GGA.

a b c (Å): 4.3894 4.3894 21.4885
angles (deg): 90.00 90.00 120.00
Space group R-3m (No. 166, hexagonal axes)
Symmetry-distinct sites (fractional):
Dy 0.0000 0.0000 0.0000 (multiplicity 3)
Y 0.0000 0.0000 0.5000 (multiplicity 3)
Sb 0.0000 0.0000 0.2502 (multiplicity 6)

- Crystal system: trigonal
- Energy relative to the elements, uncorrected: -1.149 eV/atom

***

No. 3
A geometry-optimized DyYSb structure. Source: the Alexandria database, functional PBE-GGA.

a b c (Å): 4.476 4.476 8.479
angles (deg): 90.00 90.00 90.00
Space group P4/nmm (No. 129, origin choice 2)
Symmetry-distinct sites (fractional):
Dy 0.250 0.750 0.000 (multiplicity 2)
Y 0.250 0.250 0.351 (multiplicity 2)
Sb 0.250 0.250 0.720 (multiplicity 2)

- Crystal system: tetragonal
- Energy relative to the elements, uncorrected: -0.821 eV/atom

***

No. 4
A geometry-optimized Dy4YSb2 structure. Source: the Alexandria database, functional PBE-GGA.

a b c (Å): 5.0682 5.0682 30.1753
angles (deg): 90.00 90.00 120.00
Space group R-3m (No. 166, hexagonal axes)
Symmetry-distinct sites (fractional):
Dy 0.0000 0.0000 0.1104 (multiplicity 6)
Dy 0.0000 0.0000 0.2959 (multiplicity 6)
Y 0.0000 0.0000 0.5000 (multiplicity 3)
Sb 0.0000 0.0000 0.3984 (multiplicity 6)

- Crystal system: trigonal
- Energy relative to the elements, uncorrected: -0.342 eV/atom